# 1
The following is a DFT calculation (PBE-GGA) of an optimized crystal structure of Ce2Tc3Ru.

Cell and atoms, written as POSCAR:
```
Ce2Tc3Ru
1.0
4.490 -2.582 0.000
4.490 2.582 0.000
-2.994 0.000 4.821
Ce Tc Ru
2 3 1
Direct
0.126 0.126 0.379
0.874 0.874 0.621
0.000 0.500 0.000
0.500 0.000 0.000
0.500 0.500 0.000
0.500 0.500 0.500
```

Computed properties:
SG: C2/m, No. 12
DFT total energy in eV/atom: -8.8634
Energy of formation in eV per atom: -0.157


# 2
The following is a DFT calculation (PBE-GGA) of an optimized crystal structure of Ce5TcRu2.

Cell and atoms, written as POSCAR:
```
Ce5TcRu2
1.0
2.706 -6.157 0.000
2.706 6.157 0.000
0.000 0.000 13.667
Ce Tc Ru
10 2 4
Direct
0.048 0.952 0.623
0.048 0.952 0.877
0.266 0.734 0.250
0.340 0.660 0.566
0.340 0.660 0.934
0.660 0.340 0.066
0.660 0.340 0.434
0.734 0.266 0.750
0.952 0.048 0.123
0.952 0.048 0.377
0.193 0.807 0.750
0.807 0.193 0.250
0.148 0.852 0.063
0.148 0.852 0.437
0.852 0.148 0.563
0.852 0.148 0.937
```

Computed properties:
SG: Cmcm, No. 63
DFT total energy in eV/atom: -7.4036
Energy of formation in eV per atom: -0.080


# 3
The following is a DFT calculation (PBE-GGA) of an optimized crystal structure of Ce12Tc6Ru.

Cell and atoms, written as POSCAR:
```
Ce12Tc6Ru
1.0
6.169 3.561 3.869
-6.169 3.561 3.869
0.000 -7.123 3.869
Ce Tc Ru
12 6 1
Direct
0.043 0.893 0.675
0.107 0.325 0.957
0.194 0.573 0.400
0.325 0.957 0.107
0.400 0.194 0.573
0.427 0.600 0.806
0.573 0.400 0.194
0.600 0.806 0.427
0.675 0.043 0.893
0.806 0.427 0.600
0.893 0.675 0.043
0.957 0.107 0.325
0.126 0.278 0.590
0.278 0.590 0.126
0.410 0.874 0.722
0.590 0.126 0.278
0.722 0.410 0.874
0.874 0.722 0.410
0.000 0.000 0.000
```

Computed properties:
SG: R-3, No. 148
DFT total energy in eV/atom: -7.5042
Energy of formation in eV per atom: 0.005